1.
Here is an optimized crystal structure of Pu2FeO11 from Alexandria. Energies are from PBE+U.

Cell lengths 8.347, 8.347, 8.347 Å; angles 119.34, 106.43, 103.13 degrees
Fractional positions:
O  0.525  0.622  0.402
O  0.255  0.762  0.279
O  0.000  0.000  0.000
O  0.984  0.262  0.507
O  0.475  0.378  0.598
O  0.158  0.063  0.221
O  0.220  0.123  0.598
O  0.720  0.122  0.097
Fe  0.250  0.750  0.500
O  0.516  0.024  0.279
O  0.658  0.437  0.095
O  0.975  0.377  0.097
Fe  0.750  0.250  0.500
Pu  0.263  0.819  0.082
O  0.245  0.524  0.507
O  0.342  0.563  0.905
Pu  0.737  0.181  0.918
O  0.842  0.937  0.779
O  0.755  0.476  0.493
O  0.025  0.623  0.903
O  0.780  0.877  0.402
O  0.016  0.738  0.493
O  0.500  0.500  0.000
O  0.280  0.878  0.903
Pu  0.763  0.681  0.445
Pu  0.237  0.319  0.555
O  0.745  0.238  0.721
O  0.484  0.976  0.721

Results
Energy (eV per atom): -7.685

2.
Here is an optimized crystal structure of Pu2FeO8 from Alexandria. Energies are from PBE+U.

Cell lengths 4.734, 5.834, 5.834 Å; angles 71.00, 86.12, 86.12 degrees
Fractional positions:
O  0.238  0.570  0.570
O  0.758  0.905  0.358
O  0.242  0.095  0.642
Fe  0.000  0.000  0.000
O  0.250  0.161  0.161
Pu  0.258  0.361  0.361
O  0.242  0.642  0.095
O  0.758  0.358  0.905
Pu  0.742  0.639  0.639
O  0.750  0.839  0.839
O  0.762  0.430  0.430

Results
Energy (eV per atom): -8.744

3.
Here is an optimized crystal structure of Rb4Pu3FeO12 from Alexandria. Energies are from PBE+U.

Cell lengths 7.340, 7.340, 7.340 Å; angles 109.47, 109.47, 109.47 degrees
Fractional positions:
O  0.745  0.000  0.745
Rb  0.500  0.000  0.000
O  0.500  0.250  0.750
Rb  0.000  0.000  0.500
Fe  0.000  0.000  0.000
O  0.250  0.750  0.500
O  0.255  0.000  0.255
O  0.745  0.745  0.000
O  0.500  0.750  0.250
O  0.250  0.500  0.750
Rb  0.000  0.500  0.000
O  0.750  0.250  0.500
Pu  0.000  0.500  0.500
Pu  0.500  0.500  0.000
O  0.750  0.500  0.250
O  0.000  0.745  0.745
O  0.000  0.255  0.255
Pu  0.500  0.000  0.500
Rb  0.500  0.500  0.500
O  0.255  0.255  0.000

Results
Energy (eV per atom): -7.828

4.
Here is an optimized crystal structure of Rb3Pu2FeO9 from Alexandria. Energies are from PBE+U.

Cell lengths 5.929, 5.929, 7.290 Å; angles 90.00, 90.00, 120.00 degrees
Fractional positions:
O  0.334  0.167  0.666
Rb  0.333  0.667  0.662
Fe  0.000  0.000  0.500
O  0.666  0.833  0.334
O  0.000  0.500  0.000
Rb  0.667  0.333  0.338
Rb  0.000  0.000  0.000
O  0.500  0.500  0.000
O  0.833  0.167  0.666
O  0.167  0.833  0.334
Pu  0.333  0.667  0.177
Pu  0.667  0.333  0.823
O  0.500  0.000  0.000
O  0.167  0.334  0.334
O  0.833  0.666  0.666

Results
Energy (eV per atom): -7.577